AgAuCl | SCAN | PBEsol geometry

a b c (Å): 3.105 3.105 6.437
angles (deg): 97.86 97.86 115.64
Fractional positions:
Ag  0.996  0.996  0.992
Cl  0.338  0.338  0.675
Au  0.666  0.666  0.332

Computed properties:
N(E_F) in states/eV/atom: 0.16
ΔE to the lowest computed polymorph in kJ/mol of formula units: 0
Space group: Fmm2
Raw formation energy in eV/atom: -0.04

TaCu2Mo | SCAN | PBEsol geometry

a b c (Å): 2.693 2.693 9.226
angles (deg): 81.61 81.61 60.00
Fractional positions:
Mo  0.500  0.500  0.500
Ta  0.000  0.000  0.000
Cu  0.249  0.249  0.254
Cu  0.751  0.751  0.746

Computed properties:
N(E_F) in states/eV/atom: 0.74
ΔE to the lowest computed polymorph in kJ/mol of formula units: 81
DFT formation energy in eV/atom: 0.344
Space group: R-3m

ZrSbAuF2 | SCAN | PBEsol geometry

a b c (Å): 4.158 4.158 6.103
angles (deg): 90.00 90.00 90.00
Fractional positions:
Sb  0.000  0.000  0.000
F  0.500  0.000  0.000
F  0.000  0.500  0.000
Au  0.500  0.500  0.500
Zr  0.000  0.000  0.500

Computed properties:
N(E_F) in states/eV/atom: 0.53
Space group: P4/mmm
Raw formation energy in eV/atom: -0.99

SnRu3N | SCAN | PBEsol geometry

a b c (Å): 4.042 4.042 4.042
angles (deg): 90.00 90.00 90.00
Fractional positions:
Ru  0.500  0.000  0.000
Ru  0.000  0.500  0.000
Ru  0.000  0.000  0.500
Sn  0.500  0.500  0.500
N  0.000  0.000  0.000

Computed properties:
N(E_F) in states/eV/atom: 0.52
Space group: Pm-3m
Raw formation energy in eV/atom: 0.17

ZnCuNi2 | SCAN | PBEsol geometry

a b c (Å): 2.537 2.537 6.926
angles (deg): 90.00 90.00 90.00
Each line ends with the local moment (μB).
Fractional positions:
Ni  0.000  0.000  0.006  0.63
Ni  0.500  0.500  0.243  0.46
Zn  0.000  0.000  0.492  -0.02
Cu  0.500  0.500  0.759  -0.01

Computed properties:
N(E_F) in states/eV/atom: 0.89
DFT formation energy in eV/atom: -0.039
Space group: P4mm

Sc2InW | SCAN | PBEsol geometry

a b c (Å): 2.925 2.925 9.108
angles (deg): 90.00 90.00 90.00
Fractional positions:
Sc  0.000  0.000  0.765
Sc  0.000  0.000  0.235
W  0.500  0.500  0.000
In  0.500  0.500  0.500

Computed properties:
N(E_F) in states/eV/atom: 0.67
DFT formation energy in eV/atom: -0.061
Space group: P4/mmm